A relaxed structure of SrLaOsPt2. Source: Alexandria via LeMat-Bulk, functional PBE.

As for the calculated formation energy: 0.35 eV/atom. As for the total energy: -5.634 eV per atom.

It has space group P4/mmm (No. 123), with a = 5.047 Å, b = 5.047 Å, c = 5.125 Å, α = 90.00°, β = 90.00° and γ = 90.00°. The asymmetric unit holds Sr at (0.000, 0.000, 0.000), La at (0.500, 0.500, 0.000), Os at (0.000, 0.000, 0.500) and Pt at (0.000, 0.500, 0.500).